Entry one
A plane-wave DFT calculation with PBE was carried out for crystalline ThZn3Au at its relaxed geometry.

a b c (Å): 4.251 4.251 6.245
angles (deg): 109.73 109.73 90.04
Element x y z (fractional)
Th1 0.000 0.000 0.000
Zn1 0.238 0.741 0.480
Zn2 0.615 0.615 0.231
Zn3 0.741 0.238 0.480
Au1 0.384 0.384 0.769

## Properties
- Mass density: 10.5 g/cm³
- D(E_F): 4.09 states/eV per cell
- Space group: Cm, No. 8

=====

Entry two
A plane-wave DFT calculation with PBE was carried out for crystalline ThZn3Au at its relaxed geometry.

a b c (Å): 8.493 4.466 10.521
angles (deg): 90.00 90.00 90.00
Element x y z (fractional)
Th1 0.200 0.250 0.002
Th2 0.300 0.750 0.502
Th3 0.700 0.250 0.498
Th4 0.800 0.750 0.998
Zn1 0.093 0.250 0.628
Zn2 0.105 0.750 0.806
Zn3 0.112 0.750 0.198
Zn4 0.388 0.250 0.698
Zn5 0.395 0.250 0.306
Zn6 0.407 0.750 0.128
Zn7 0.593 0.250 0.872
Zn8 0.605 0.750 0.694
Zn9 0.612 0.750 0.302
Zn10 0.888 0.250 0.802
Zn11 0.895 0.250 0.194
Zn12 0.907 0.750 0.372
Au1 0.098 0.250 0.372
Au2 0.402 0.750 0.872
Au3 0.598 0.250 0.128
Au4 0.902 0.750 0.628

## Properties
- Mass density: 10.4 g/cm³
- D(E_F): 11.12 states/eV per cell
- Space group: Pnma, No. 62

=====

It turns out entry one is the most stable, with the second structure 53 meV per atom higher.